1.
# Sm2PtAu | Alexandria via LeMat-Bulk | PBE | relaxed
# E_tot = -5.609 eV per atom
data_Sm2PtAu
_chemical_formula_sum 'Sm6 Pt3 Au3'
_space_group_name_H-M_alt 'R 3 m'
_space_group_IT_number 160
_space_group_name_Hall 'R 3 -2"'
_cell_length_a 4.1747
_cell_length_b 4.1747
_cell_length_c 21.3418
_cell_angle_alpha 90.00
_cell_angle_beta 90.00
_cell_angle_gamma 120.00
loop_
_atom_site_label
_atom_site_fract_x
_atom_site_fract_y
_atom_site_fract_z
Sm1 0.0000 0.0000 0.0000
Sm2 0.0000 0.0000 0.1827
Pt1 0.0000 0.0000 0.5924
Au1 0.0000 0.0000 0.7571

2.
# Sm6PtAu5 | Alexandria via LeMat-Bulk | PBE | relaxed
# E_tot = -5.076 eV per atom
data_Sm6PtAu5
_chemical_formula_sum 'Sm12 Pt2 Au10'
_space_group_name_H-M_alt 'I m m m'
_space_group_IT_number 71
_space_group_name_Hall '-I 2 2'
_cell_length_a 5.1479
_cell_length_b 7.3770
_cell_length_c 15.4579
_cell_angle_alpha 90.00
_cell_angle_beta 90.00
_cell_angle_gamma 90.00
loop_
_atom_site_label
_atom_site_fract_x
_atom_site_fract_y
_atom_site_fract_z
Sm1 0.0000 0.2421 0.0000
Sm2 0.0000 0.2545 0.3372
Pt1 0.0000 0.5000 0.5000
Au1 0.0000 0.0000 0.1754
Au2 0.0000 0.0000 0.5000
Au3 0.0000 0.5000 0.1649

3.
# SrSmPtAu | Alexandria via LeMat-Bulk | PBE | relaxed
# E_tot = -4.805 eV per atom
data_SrSmPtAu
_chemical_formula_sum 'Sr2 Sm2 Pt2 Au2'
_space_group_name_H-M_alt 'A m m 2'
_space_group_IT_number 38
_space_group_name_Hall 'A 2 -2'
_cell_length_a 4.5408
_cell_length_b 4.0260
_cell_length_c 11.4765
_cell_angle_alpha 90.00
_cell_angle_beta 90.00
_cell_angle_gamma 90.00
loop_
_atom_site_label
_atom_site_fract_x
_atom_site_fract_y
_atom_site_fract_z
Sr1 0.0000 0.0000 0.0000
Sm1 0.5000 0.0000 0.7237
Pt1 0.0000 0.0000 0.2678
Au1 0.5000 0.0000 0.4356

4.
# SrSmPtAu | Alexandria via LeMat-Bulk | PBE | relaxed
# E_tot = -4.736 eV per atom
data_SrSmPtAu
_chemical_formula_sum 'Sr4 Sm4 Pt4 Au4'
_space_group_name_H-M_alt 'F -4 3 m'
_space_group_IT_number 216
_space_group_name_Hall 'F -4 2 3'
_cell_length_a 7.3446
_cell_length_b 7.3446
_cell_length_c 7.3446
_cell_angle_alpha 90.00
_cell_angle_beta 90.00
_cell_angle_gamma 90.00
loop_
_atom_site_label
_atom_site_fract_x
_atom_site_fract_y
_atom_site_fract_z
Sr1 0.0000 0.0000 0.0000
Sm1 0.0000 0.0000 0.5000
Pt1 0.2500 0.2500 0.7500
Au1 0.2500 0.2500 0.2500

5.
# TbSmPtAu | Alexandria via LeMat-Bulk | PBE | relaxed
# E_tot = -5.709 eV per atom
data_TbSmPtAu
_chemical_formula_sum 'Tb2 Sm2 Pt2 Au2'
_space_group_name_H-M_alt 'A m m 2'
_space_group_IT_number 38
_space_group_name_Hall 'A 2 -2'
_cell_length_a 4.6393
_cell_length_b 3.8372
_cell_length_c 10.7993
_cell_angle_alpha 90.00
_cell_angle_beta 90.00
_cell_angle_gamma 90.00
loop_
_atom_site_label
_atom_site_fract_x
_atom_site_fract_y
_atom_site_fract_z
Tb1 0.0000 0.0000 0.0000
Sm1 0.5000 0.0000 0.7243
Pt1 0.5000 0.0000 0.4524
Au1 0.0000 0.0000 0.2774

6.
# TbSmPtAu | Alexandria via LeMat-Bulk | PBE | relaxed
# E_tot = -5.650 eV per atom
data_TbSmPtAu
_chemical_formula_sum 'Tb4 Sm4 Pt4 Au4'
_space_group_name_H-M_alt 'F -4 3 m'
_space_group_IT_number 216
_space_group_name_Hall 'F -4 2 3'
_cell_length_a 7.1825
_cell_length_b 7.1825
_cell_length_c 7.1825
_cell_angle_alpha 90.00
_cell_angle_beta 90.00
_cell_angle_gamma 90.00
loop_
_atom_site_label
_atom_site_fract_x
_atom_site_fract_y
_atom_site_fract_z
Tb1 0.0000 0.0000 0.0000
Sm1 0.0000 0.0000 0.5000
Pt1 0.2500 0.2500 0.2500
Au1 0.2500 0.2500 0.7500

Q: Look up the E_tot of the sixth one.
A: -5.650 eV per atom

Q: Which of these has the highest E_tot?
A: number 4

Q: Which of these has the lowest E_tot?
A: number 5